Computed, not measured: a geometry-optimized HoEr8Cd2 structure at the PBE level of DFT.

Cell: 8.6457 8.6457 5.4969 Å, 101.02 101.02 119.41°
Closest atoms and distances in Å follow each position.
Element x y z (fractional)
Ho: 0.0000 0.0000 0.0000  8 Er 3.22-3.59
Er: 0.0940 0.3199 0.6145  2 Cd 3.10-3.34, 3 Er 3.34-3.46
Er: 0.2197 0.7803 0.0000  2 Cd 3.04, 1 Ho 3.28
Er: 0.3199 0.0940 0.6145  2 Cd 3.10-3.34, 3 Er 3.34-3.46
Er: 0.3986 0.3986 0.2012  2 Er 3.09-3.31, 1 Ho 3.22, 2 Cd 3.28
Er: 0.6014 0.6014 0.7988  2 Er 3.09-3.31, 1 Ho 3.22, 2 Cd 3.28
Er: 0.6801 0.9060 0.3855  2 Cd 3.10-3.34, 3 Er 3.34-3.46
Er: 0.7803 0.2197 0.0000  2 Cd 3.04, 1 Ho 3.28
Er: 0.9060 0.6801 0.3855  2 Cd 3.10-3.34, 3 Er 3.34-3.46
Cd: 0.3065 0.6935 0.5000  8 Er 3.04-3.34
Cd: 0.6935 0.3065 0.5000  8 Er 3.04-3.34

Properties
Formation enthalpy at 0 K   0.47 eV per formula unit
Crystal system   monoclinic
D(E_F)   1.3319 states/eV per atom
Space-group type   C2/m, No. 12